Record 1
{
  "formula": "PuP2Au",
  "functional": "PBE",
  "state": "optimized geometry",
  "lattice": [[4.448, 0.000, 0.000], [0.000, 4.448, 0.000], [0.000, 0.000, 3.611]],
  "species": ["Pu", "P", "P", "Au"],
  "fractional_positions": [[0.000, 0.000, 0.000], [0.000, 0.500, 0.500], [0.500, 0.000, 0.500], [0.500, 0.500, 0.000]],
  "magmom_total_mub_per_fu": 4.407,
  "spacegroup": "P4/mmm",
  "ef_ev_per_atom": -0.46
}

---

Record 2
{
  "formula": "PuP2Au",
  "functional": "PBE",
  "state": "optimized geometry",
  "lattice": [[4.095, 0.000, 0.000], [-2.047, 3.546, 0.000], [0.000, 0.000, 15.786]],
  "species": ["Pu", "Pu", "Pu", "P", "P", "P", "P", "P", "P", "Au", "Au", "Au"],
  "fractional_positions": [[0.000, 0.000, 0.000], [0.333, 0.667, 0.667], [0.667, 0.333, 0.333], [0.000, 0.000, 0.247], [0.000, 0.000, 0.753], [0.333, 0.667, 0.420], [0.333, 0.667, 0.914], [0.667, 0.333, 0.086], [0.667, 0.333, 0.580], [0.000, 0.000, 0.500], [0.333, 0.667, 0.167], [0.667, 0.333, 0.833]],
  "magmom_total_mub_per_fu": 4.704,
  "spacegroup": "R-3m",
  "ef_ev_per_atom": -0.41
}

---

Record 3
{
  "formula": "RbP2Au",
  "functional": "PBE",
  "state": "optimized geometry",
  "lattice": [[4.866, 0.000, 0.000], [0.000, 4.866, 0.000], [0.000, 0.000, 17.905]],
  "species": ["Rb", "Rb", "Rb", "Rb", "P", "P", "P", "P", "P", "P", "P", "P", "Au", "Au", "Au", "Au"],
  "fractional_positions": [[0.000, 0.250, 0.375], [0.000, 0.750, 0.625], [0.500, 0.250, 0.125], [0.500, 0.750, 0.875], [0.000, 0.000, 0.000], [0.000, 0.500, 0.000], [0.250, 0.250, 0.750], [0.250, 0.750, 0.250], [0.500, 0.000, 0.500], [0.500, 0.500, 0.500], [0.750, 0.250, 0.750], [0.750, 0.750, 0.250], [0.000, 0.250, 0.875], [0.000, 0.750, 0.125], [0.500, 0.250, 0.625], [0.500, 0.750, 0.375]],
  "magmom_total_mub_per_fu": 0.000,
  "spacegroup": "I4_1/amd",
  "polymorph_energy_ev_per_atom": 0.2378,
  "ef_ev_per_atom": -0.01
}

---

Record 4
{
  "formula": "Rb3PAu",
  "functional": "PBE",
  "state": "optimized geometry",
  "lattice": [[6.453, 0.000, 0.000], [0.000, 6.453, 0.000], [0.000, 0.000, 6.453]],
  "species": ["Rb", "Rb", "Rb", "P", "Au"],
  "fractional_positions": [[0.000, 0.000, 0.500], [0.000, 0.500, 0.000], [0.500, 0.000, 0.000], [0.000, 0.000, 0.000], [0.500, 0.500, 0.500]],
  "magmom_total_mub_per_fu": 1.000,
  "spacegroup": "Pm-3m",
  "polymorph_energy_ev_per_atom": 0.2185,
  "ef_ev_per_atom": -0.01
}